Record 1
The following is a PBE-GGA calculation of an optimized crystal structure of LiPb2Br, from Alexandria via LeMat-Bulk.

a b c (Å): 6.958 4.300 4.300
angles (deg): 90.00 90.00 90.00
Sites, in units of the cell vectors:
Br: 0.500 0.500 0.000
Li: 0.500 0.000 0.500
Pb: 0.000 0.000 0.000
Pb: 0.000 0.500 0.500

Computed properties:
**Energy above the lowest structure with this stoichiometry**: 324 meV per atom



Record 2
The following is a PBE-GGA calculation of an optimized crystal structure of LiPbBr3, from Alexandria via LeMat-Bulk.

a b c (Å): 4.491 7.311 10.398
angles (deg): 91.51 90.00 90.00
Sites, in units of the cell vectors:
Li: 0.750 0.893 0.597
Li: 0.250 0.107 0.403
Pb: 0.750 0.589 0.178
Pb: 0.250 0.411 0.822
Br: 0.250 0.438 0.340
Br: 0.750 0.562 0.660
Br: 0.250 0.052 0.649
Br: 0.750 0.260 0.995
Br: 0.750 0.948 0.351
Br: 0.250 0.740 0.005

Computed properties:
**Energy above the lowest structure with this stoichiometry**: 0 meV per atom



Record 3
The following is a PBE-GGA calculation of an optimized crystal structure of LiPbBr3, from Alexandria via LeMat-Bulk.

a b c (Å): 7.984 10.100 10.100
angles (deg): 79.66 70.79 70.79
Sites, in units of the cell vectors:
Li: 0.660 0.377 0.228
Li: 0.160 0.228 0.377
Li: 0.840 0.772 0.623
Li: 0.340 0.623 0.772
Pb: 0.750 0.277 0.723
Pb: 0.250 0.096 0.904
Pb: 0.750 0.904 0.096
Pb: 0.250 0.723 0.277
Br: 0.316 0.420 0.278
Br: 0.675 0.972 0.794
Br: 0.816 0.278 0.420
Br: 0.184 0.722 0.580
Br: 0.830 0.861 0.368
Br: 0.175 0.794 0.972
Br: 0.684 0.580 0.722
Br: 0.825 0.206 0.028
Br: 0.325 0.028 0.206
Br: 0.330 0.368 0.861
Br: 0.170 0.139 0.632
Br: 0.670 0.632 0.139

Computed properties:
**Energy above the lowest structure with this stoichiometry**: 24 meV per atom



Record 4
The following is a PBE-GGA calculation of an optimized crystal structure of LiPb2Br5, from Alexandria via LeMat-Bulk.

a b c (Å): 6.007 7.632 14.269
angles (deg): 90.00 90.00 113.17
Sites, in units of the cell vectors:
Li: 0.801 0.602 0.750
Li: 0.199 0.398 0.250
Pb: 0.853 0.706 0.434
Pb: 0.853 0.706 0.066
Pb: 0.147 0.294 0.566
Pb: 0.147 0.294 0.934
Br: 0.945 0.890 0.876
Br: 0.945 0.890 0.624
Br: 0.319 0.638 0.414
Br: 0.319 0.638 0.086
Br: 0.738 0.475 0.250
Br: 0.262 0.525 0.750
Br: 0.681 0.362 0.586
Br: 0.681 0.362 0.914
Br: 0.055 0.110 0.124
Br: 0.055 0.110 0.376



Record 5
The following is a PBE-GGA calculation of an optimized crystal structure of Li2PbBr, from Alexandria via LeMat-Bulk.

a b c (Å): 3.534 3.534 8.259
angles (deg): 90.00 90.00 90.00
Sites, in units of the cell vectors:
Br: 0.500 0.500 0.901
Li: 0.000 0.000 0.959
Li: 0.500 0.500 0.208
Pb: 0.000 0.000 0.433

Computed properties:
**Energy above the lowest structure with this stoichiometry**: 80 meV per atom



Record 6
The following is a PBE-GGA calculation of an optimized crystal structure of LiPb2Br, from Alexandria via LeMat-Bulk.

a b c (Å): 6.663 6.663 7.976
angles (deg): 65.31 65.31 90.00
Sites, in units of the cell vectors:
Pb: 0.568 0.125 0.250
Pb: 0.182 0.625 0.250
Pb: 0.375 0.432 0.750
Pb: 0.875 0.818 0.750
Br: 0.000 0.000 0.000
Br: 0.750 0.250 0.500
Li: 0.500 0.500 0.000
Li: 0.250 0.750 0.500

Computed properties:
**Energy above the lowest structure with this stoichiometry**: 741 meV per atom



Record 7
The following is a PBE-GGA calculation of an optimized crystal structure of LiPb2Br, from Alexandria via LeMat-Bulk.

a b c (Å): 3.718 3.718 9.878
angles (deg): 79.63 79.63 59.91
Sites, in units of the cell vectors:
Br: 0.530 0.530 0.421
Li: 0.233 0.233 0.308
Pb: 0.992 0.992 0.020
Pb: 0.745 0.745 0.751

Computed properties:
**Energy above the lowest structure with this stoichiometry**: 28 meV per atom



Record 8
The following is a PBE-GGA calculation of an optimized crystal structure of LiPbBr4, from Alexandria via LeMat-Bulk.

a b c (Å): 4.154 8.074 6.911
angles (deg): 116.23 90.00 104.90
Sites, in units of the cell vectors:
Li: 0.000 0.000 0.000
Pb: 0.500 0.000 0.500
Br: 0.388 0.777 0.041
Br: 0.120 0.239 0.436
Br: 0.612 0.223 0.959
Br: 0.880 0.761 0.564

Computed properties:
**Energy above the lowest structure with this stoichiometry**: 0 meV per atom



Record 9
The following is a PBE-GGA calculation of an optimized crystal structure of Li3Pb5Br12, from Alexandria via LeMat-Bulk.

a b c (Å): 15.379 15.379 15.379
angles (deg): 109.47 109.47 109.47
Sites, in units of the cell vectors:
Li: 0.750 0.375 0.125
Li: 0.875 0.750 0.125
Li: 0.375 0.750 0.625
Li: 0.250 0.125 0.375
Li: 0.875 0.125 0.250
Li: 0.375 0.625 0.250
Li: 0.625 0.375 0.750
Li: 0.125 0.875 0.750
Li: 0.750 0.875 0.625
Li: 0.625 0.250 0.375
Li: 0.125 0.250 0.875
Li: 0.250 0.625 0.875
Pb: 0.125 0.375 0.250
Pb: 0.000 0.500 0.000
Pb: 0.000 0.000 0.000
Pb: 0.375 0.250 0.125
Pb: 0.500 0.000 0.500
Pb: 0.500 0.500 0.000
Pb: 0.125 0.750 0.375
Pb: 0.750 0.125 0.875
Pb: 0.750 0.625 0.375
Pb: 0.375 0.125 0.750
Pb: 0.625 0.875 0.250
Pb: 0.500 0.500 0.500
Pb: 0.500 0.000 0.000
Pb: 0.000 0.000 0.500
Pb: 0.250 0.375 0.625
Pb: 0.250 0.875 0.125
Pb: 0.000 0.500 0.500
Pb: 0.875 0.250 0.625
Pb: 0.625 0.750 0.875
Pb: 0.875 0.625 0.750
Br: 0.611 0.183 0.969
Br: 0.359 0.469 0.286
Br: 0.031 0.317 0.389
Br: 0.469 0.111 0.183
Br: 0.428 0.611 0.641
Br: 0.031 0.714 0.141
Br: 0.359 0.889 0.572
Br: 0.214 0.072 0.183
Br: 0.714 0.031 0.641
Br: 0.611 0.428 0.141
Br: 0.889 0.531 0.317
Br: 0.859 0.786 0.969
Br: 0.183 0.611 0.469
Br: 0.317 0.286 0.928
Br: 0.928 0.786 0.317
Br: 0.572 0.183 0.714
Br: 0.928 0.141 0.111
Br: 0.531 0.641 0.214
Br: 0.859 0.072 0.389
Br: 0.183 0.572 0.214
Br: 0.317 0.031 0.889
Br: 0.714 0.683 0.572
Br: 0.786 0.859 0.469
Br: 0.889 0.359 0.072
Br: 0.286 0.317 0.428
Br: 0.214 0.141 0.531
Br: 0.111 0.641 0.928
Br: 0.141 0.928 0.611
Br: 0.683 0.969 0.111
Br: 0.817 0.428 0.786
Br: 0.469 0.359 0.786
Br: 0.428 0.817 0.286
Br: 0.072 0.859 0.889
Br: 0.072 0.214 0.683
Br: 0.817 0.389 0.531
Br: 0.141 0.214 0.031
Br: 0.683 0.714 0.072
Br: 0.286 0.969 0.359
Br: 0.389 0.572 0.859
Br: 0.111 0.469 0.683
Br: 0.786 0.928 0.817
Br: 0.641 0.111 0.428
Br: 0.531 0.889 0.817
Br: 0.969 0.286 0.859
Br: 0.572 0.389 0.359
Br: 0.969 0.683 0.611
Br: 0.641 0.531 0.714
Br: 0.389 0.817 0.031



Record 10
The following is a PBE-GGA calculation of an optimized crystal structure of Li2PbBr, from Alexandria via LeMat-Bulk.

a b c (Å): 5.779 5.779 5.779
angles (deg): 145.31 111.37 79.24
Sites, in units of the cell vectors:
Br: 0.250 0.750 0.500
Li: 0.033 0.033 0.000
Li: 0.467 0.467 0.000
Pb: 0.750 0.250 0.500

Computed properties:
**Energy above the lowest structure with this stoichiometry**: 229 meV per atom



Record 11
The following is a PBE-GGA calculation of an optimized crystal structure of LiPb2Br, from Alexandria via LeMat-Bulk.

a b c (Å): 6.145 6.145 6.145
angles (deg): 145.85 121.40 69.60
Sites, in units of the cell vectors:
Br: 0.442 0.442 0.000
Li: 0.278 0.778 0.500
Pb: 0.031 0.031 0.000
Pb: 0.749 0.249 0.500

Computed properties:
**Energy above the lowest structure with this stoichiometry**: 258 meV per atom



Record 12
The following is a PBE-GGA calculation of an optimized crystal structure of Li2PbBr, from Alexandria via LeMat-Bulk.

a b c (Å): 7.069 7.069 6.464
angles (deg): 56.85 56.85 90.00
Sites, in units of the cell vectors:
Pb: 0.000 0.000 0.000
Pb: 0.750 0.250 0.500
Br: 0.500 0.500 0.000
Br: 0.250 0.750 0.500
Li: 0.569 0.125 0.250
Li: 0.181 0.625 0.250
Li: 0.375 0.431 0.750
Li: 0.875 0.819 0.750

Computed properties:
**Energy above the lowest structure with this stoichiometry**: 170 meV per atom



Record 13
The following is a PBE-GGA calculation of an optimized crystal structure of Li2PbBr, from Alexandria via LeMat-Bulk.

a b c (Å): 3.391 3.391 7.849
angles (deg): 90.00 90.00 90.00
Sites, in units of the cell vectors:
Br: 0.500 0.500 0.750
Li: 0.000 0.000 0.958
Li: 0.000 0.000 0.542
Pb: 0.500 0.500 0.250

Computed properties:
**Energy above the lowest structure with this stoichiometry**: 77 meV per atom



Record 14
The following is a PBE-GGA calculation of an optimized crystal structure of LiPb2Br, from Alexandria via LeMat-Bulk.

a b c (Å): 3.552 3.552 8.575
angles (deg): 90.00 90.00 90.00
Sites, in units of the cell vectors:
Br: 0.500 0.500 0.250
Li: 0.500 0.500 0.750
Pb: 0.000 0.000 0.979
Pb: 0.000 0.000 0.521

Computed properties:
**Energy above the lowest structure with this stoichiometry**: 459 meV per atom



Record 15
The following is a PBE-GGA calculation of an optimized crystal structure of LiPb2Br, from Alexandria via LeMat-Bulk.

a b c (Å): 5.843 5.843 3.460
angles (deg): 90.00 90.00 109.38
Sites, in units of the cell vectors:
Br: 0.500 0.000 0.500
Li: 0.000 0.500 0.500
Pb: 0.000 0.000 0.000
Pb: 0.500 0.500 0.000

Computed properties:
**Energy above the lowest structure with this stoichiometry**: 419 meV per atom



Record 16
The following is a PBE-GGA calculation of an optimized crystal structure of LiPbBr2, from Alexandria via LeMat-Bulk.

a b c (Å): 5.448 5.448 3.693
angles (deg): 90.00 90.00 90.00
Sites, in units of the cell vectors:
Br: 0.000 0.000 0.000
Br: 0.500 0.500 0.000
Li: 0.500 0.000 0.500
Pb: 0.000 0.500 0.500

Computed properties:
**Energy above the lowest structure with this stoichiometry**: 288 meV per atom



Record 17
The following is a PBE-GGA calculation of an optimized crystal structure of Li2Pb3Br8, from Alexandria via LeMat-Bulk.

a b c (Å): 7.594 8.890 8.374
angles (deg): 122.06 107.62 90.00
Sites, in units of the cell vectors:
Li: 0.617 0.665 0.331
Li: 0.383 0.335 0.669
Pb: 0.500 0.000 0.000
Pb: 0.000 0.736 0.000
Pb: 0.000 0.264 0.000
Br: 0.745 0.370 0.741
Br: 0.255 0.630 0.259
Br: 0.750 0.870 0.739
Br: 0.250 0.130 0.261
Br: 0.749 0.378 0.252
Br: 0.749 0.873 0.252
Br: 0.251 0.127 0.748
Br: 0.251 0.622 0.748



Record 18
The following is a PBE-GGA calculation of an optimized crystal structure of LiPb2Br6, from Alexandria via LeMat-Bulk.

a b c (Å): 7.227 6.918 12.395
angles (deg): 90.00 90.07 90.00
Sites, in units of the cell vectors:
Li: 0.500 0.500 0.000
Li: 0.000 0.000 0.500
Pb: 0.999 0.497 0.824
Pb: 0.501 0.997 0.676
Pb: 0.499 0.003 0.324
Pb: 0.001 0.503 0.176
Br: 0.835 0.762 0.342
Br: 0.835 0.755 0.656
Br: 0.811 0.719 0.999
Br: 0.689 0.219 0.501
Br: 0.665 0.255 0.844
Br: 0.665 0.262 0.158
Br: 0.165 0.238 0.658
Br: 0.165 0.245 0.344
Br: 0.189 0.281 0.001
Br: 0.311 0.781 0.499
Br: 0.335 0.745 0.156
Br: 0.335 0.738 0.842



Record 19
The following is a PBE-GGA calculation of an optimized crystal structure of Li2PbBr, from Alexandria via LeMat-Bulk.

a b c (Å): 3.558 3.558 8.407
angles (deg): 77.70 77.70 62.39
Sites, in units of the cell vectors:
Br: 0.250 0.250 0.250
Li: 0.980 0.980 0.052
Li: 0.520 0.520 0.448
Pb: 0.750 0.750 0.750

Computed properties:
**Energy above the lowest structure with this stoichiometry**: 0 meV per atom



Record 20
The following is a PBE-GGA calculation of an optimized crystal structure of LiPb2Br, from Alexandria via LeMat-Bulk.

a b c (Å): 9.799 9.799 9.799
angles (deg): 21.46 21.46 21.46
Sites, in units of the cell vectors:
Br: 0.250 0.250 0.250
Li: 0.750 0.750 0.750
Pb: 0.004 0.004 0.004
Pb: 0.496 0.496 0.496

Computed properties:
**Energy above the lowest structure with this stoichiometry**: 437 meV per atom



Record 21
The following is a PBE-GGA calculation of an optimized crystal structure of LiPbBr3, from Alexandria via LeMat-Bulk.

a b c (Å): 5.085 5.085 5.085
angles (deg): 90.00 90.00 90.00
Sites, in units of the cell vectors:
Pb: 0.500 0.500 0.500
Br: 0.000 0.500 0.000
Br: 0.000 0.000 0.500
Br: 0.500 0.000 0.000
Li: 0.000 0.000 0.000

Computed properties:
**Energy above the lowest structure with this stoichiometry**: 254 meV per atom



Record 22
The following is a PBE-GGA calculation of an optimized crystal structure of LiPbBr4, from Alexandria via LeMat-Bulk.

a b c (Å): 6.479 6.479 6.479
angles (deg): 60.00 60.00 60.00
Last column: magnetic moment on the atom in μB.
Sites, in units of the cell vectors:
Li: 0.750 0.750 0.750  -0.01
Pb: 0.000 0.000 0.000  -0.05
Br: 0.873 0.376 0.376  0.25
Br: 0.376 0.376 0.873  0.25
Br: 0.376 0.873 0.376  0.25
Br: 0.376 0.376 0.376  0.25

Computed properties:
**Energy above the lowest structure with this stoichiometry**: 915 meV per atom



no.,VASP energy (eV/atom),formation energy without anion corrections (meV per atom)
1,-3.041,-290.1
2,-3.286,-1158.0
3,-3.262,-1134.1
4,-3.239,-1027.1
5,-2.980,-677.3
6,-2.624,126.8
7,-3.337,-586.2
8,-2.929,-876.6
9,-3.155,-936.8
10,-2.830,-527.9
11,-3.107,-356.6
12,-2.889,-586.7
13,-2.982,-679.4
14,-2.906,-155.6
15,-2.946,-195.1
16,-2.901,-658.7
17,-3.266,-1086.1
18,-3.036,-884.3
19,-3.059,-756.8
20,-2.928,-177.6
21,-3.033,-904.4
22,-2.014,38.2